[1]
This record from Alexandria describes crystalline Er3HPbSe at its relaxed geometry. The functional is GGA-PBE.

a = 8.1535 Å, b = 4.1615 Å, c = 8.4774 Å
α = 90.00°, β = 98.76°, γ = 90.00°
With the nearest neighbours (Å) after each atom.
Sites, in units of the cell vectors:
Er (0.0831, 0.2500, 0.3179)  3 Se 2.82-2.85, 2 Pb 3.07
Er (0.3307, 0.2500, 0.9668)  3 H 2.25-2.27
Er (0.3873, 0.7500, 0.6286)  1 H 2.27
Er (0.6127, 0.2500, 0.3714)  1 H 2.27
Er (0.6693, 0.7500, 0.0332)  3 H 2.25-2.27
Er (0.9169, 0.7500, 0.6821)  3 Se 2.82-2.85, 2 Pb 3.07
H (0.4084, 0.7500, 0.8989)  4 Er 2.25-2.27
H (0.5916, 0.2500, 0.1011)  4 Er 2.25-2.27
Pb (0.3407, 0.7500, 0.2493)  7 Er 3.07-3.18, 3 H 3.10-3.30
Pb (0.6593, 0.2500, 0.7507)  7 Er 3.07-3.18, 3 H 3.10-3.30
Se (0.1497, 0.2500, 0.6541)  6 Er 2.82-2.87
Se (0.8503, 0.7500, 0.3459)  6 Er 2.82-2.87

Output
DOS(E_F) ... 5.69 states/eV per cell
DFT total energy ... -4.908 eV/atom
Crystal system ... monoclinic
Spin magnetization ... 0.00 Bohr magnetons per cell
V ... 23.690 A^3/atom

---

[2]
This record from Alexandria describes crystalline Mn2InAgBi at its relaxed geometry. The functional is GGA-PBE.

a = 5.0549 Å, b = 5.0549 Å, c = 5.4458 Å
α = 90.00°, β = 90.00°, γ = 90.00°
With the nearest neighbours (Å) after each atom.
Sites, in units of the cell vectors:
Mn (0.0000, 0.5000, 0.0000)  2 Ag 2.53
Mn (0.5000, 0.0000, 0.0000)  2 Ag 2.53
In (0.0000, 0.0000, 0.5000)  4 Bi 3.57, 8 Mn 3.72
Ag (0.5000, 0.5000, 0.0000)  4 Mn 2.53, 2 Bi 2.72
Bi (0.5000, 0.5000, 0.5000)  2 Ag 2.72

Output
DOS(E_F) ... 4.01 states/eV per cell
DFT total energy ... -4.722 eV/atom
ΔE_f ... 0.84 eV/atom
Crystal system ... tetragonal
Spin magnetization ... 8.81 Bohr magnetons per cell
V ... 27.830 A^3/atom

---

[3]
This record from Alexandria describes crystalline Nd2YBe at its relaxed geometry. The functional is GGA-PBE.

a = 3.5999 Å, b = 3.5999 Å, c = 8.6557 Å
α = 90.00°, β = 90.00°, γ = 90.00°
With the nearest neighbours (Å) after each atom.
Sites, in units of the cell vectors:
Nd (0.0000, 0.0000, 0.1956)  4 Be 3.06, 1 Nd 3.39
Nd (0.0000, 0.0000, 0.8044)  4 Be 3.06, 1 Nd 3.39
Y (0.5000, 0.5000, 0.5000)  4 Y 3.60, 8 Nd 3.66
Be (0.5000, 0.5000, 0.0000)  8 Nd 3.06

Output
DOS(E_F) ... 4.72 states/eV per cell
DFT total energy ... -4.810 eV/atom
ΔE_f ... 0.12 eV/atom
Crystal system ... tetragonal
Spin magnetization ... 0.00 Bohr magnetons per cell
V ... 28.044 A^3/atom